No. 1
# Na2MnIO6 (PBE with a Hubbard U, relaxed)
data_Na2MnIO6
_cell_length_a 5.548
_cell_length_b 5.548
_cell_length_c 5.335
_cell_angle_alpha 118.28
_cell_angle_beta 118.28
_cell_angle_gamma 58.29
_symmetry_space_group_name_H-M 'P 1'
_symmetry_Int_Tables_number 1
loop_
_symmetry_equiv_pos_as_xyz
'x,y,z'
loop_
_atom_site_label
_atom_site_type_symbol
_atom_site_fract_x
_atom_site_fract_y
_atom_site_fract_z
Na1 Na 0.249 0.249 0.227
Na2 Na 0.751 0.751 0.773
Mn1 Mn 0.500 0.500 0.000
I1 I 0.000 0.000 0.500
O1 O 0.196 0.698 0.202
O2 O 0.222 0.222 0.630
O3 O 0.302 0.804 0.798
O4 O 0.698 0.196 0.202
O5 O 0.778 0.778 0.370
O6 O 0.804 0.302 0.798
# - Magnetization: 4.0 μB per cell
# - Space group: No. 12
# - Crystal system: monoclinic
# - Mass density: 4.58 g/cm³
# - Total energy: -0.383 Ry/atom

No. 2
# NaMnI2O (PBE with a Hubbard U, relaxed)
data_NaMnI2O
_cell_length_a 5.821
_cell_length_b 5.821
_cell_length_c 4.281
_cell_angle_alpha 90.00
_cell_angle_beta 90.00
_cell_angle_gamma 90.00
_symmetry_space_group_name_H-M 'P 1'
_symmetry_Int_Tables_number 1
loop_
_symmetry_equiv_pos_as_xyz
'x,y,z'
loop_
_atom_site_label
_atom_site_type_symbol
_atom_site_fract_x
_atom_site_fract_y
_atom_site_fract_z
Na1 Na 0.000 0.000 0.000
Mn1 Mn 0.500 0.500 0.500
I1 I 0.000 0.500 0.000
I2 I 0.500 0.000 0.000
O1 O 0.000 0.000 0.500
# - Magnetization: 4.0 μB per cell
# - Space group: No. 123
# - Excess energy over the best structure of this formula in the dataset: 0.876 eV/atom
# - Crystal system: tetragonal
# - Mass density: 3.98 g/cm³
# - Total energy: -0.245 Ry/atom

No. 3
# NaMnIO2 (PBE with a Hubbard U, relaxed)
data_NaMnIO2
_cell_length_a 3.971
_cell_length_b 3.971
_cell_length_c 6.230
_cell_angle_alpha 90.00
_cell_angle_beta 90.00
_cell_angle_gamma 90.00
_symmetry_space_group_name_H-M 'P 1'
_symmetry_Int_Tables_number 1
loop_
_symmetry_equiv_pos_as_xyz
'x,y,z'
loop_
_atom_site_label
_atom_site_type_symbol
_atom_site_fract_x
_atom_site_fract_y
_atom_site_fract_z
Na1 Na 0.000 0.000 0.000
Mn1 Mn 0.500 0.500 0.500
I1 I 0.500 0.500 0.000
O1 O 0.000 0.500 0.500
O2 O 0.500 0.000 0.500
# - Magnetization: 3.0 μB per cell
# - Space group: No. 123
# - Excess energy over the best structure of this formula in the dataset: 0.000 eV/atom
# - Crystal system: tetragonal
# - Mass density: 4.00 g/cm³
# - Total energy: -0.356 Ry/atom

No. 4
# NaMnI2O (PBE with a Hubbard U, relaxed)
data_NaMnI2O
_cell_length_a 5.974
_cell_length_b 5.974
_cell_length_c 3.770
_cell_angle_alpha 90.00
_cell_angle_beta 90.00
_cell_angle_gamma 90.00
_symmetry_space_group_name_H-M 'P 1'
_symmetry_Int_Tables_number 1
loop_
_symmetry_equiv_pos_as_xyz
'x,y,z'
loop_
_atom_site_label
_atom_site_type_symbol
_atom_site_fract_x
_atom_site_fract_y
_atom_site_fract_z
Na1 Na 0.000 0.000 0.000
Mn1 Mn 0.500 0.500 0.500
I1 I 0.000 0.500 0.500
I2 I 0.500 0.000 0.500
O1 O 0.500 0.500 0.000
# - Magnetization: 4.1 μB per cell
# - Space group: No. 123
# - Excess energy over the best structure of this formula in the dataset: 0.000 eV/atom
# - Crystal system: tetragonal
# - Mass density: 4.29 g/cm³
# - Total energy: -0.309 Ry/atom